Record 1
# PmPr6Dy2Th | Alexandria via LeMat-Bulk | PBE | relaxed
data_PmPr6Dy2Th
_cell_length_a 9.406
_cell_length_b 15.165
_cell_length_c 9.946
_cell_angle_alpha 90.00
_cell_angle_beta 98.97
_cell_angle_gamma 90.00
_symmetry_space_group_name_H-M 'C 1 2/c 1'
_symmetry_Int_Tables_number 15
loop_
_symmetry_equiv_pos_as_xyz
'x,y,z'
'-x,-y,-z'
'-x,y,-z+1/2'
'x,-y,z+1/2'
'x+1/2,y+1/2,z'
'-x+1/2,-y+1/2,-z'
'-x+1/2,y+1/2,-z+1/2'
'x+1/2,-y+1/2,z+1/2'
loop_
_atom_site_label
_atom_site_type_symbol
_atom_site_fract_x
_atom_site_fract_y
_atom_site_fract_z
Pm1 Pm 0.000 0.095 0.250
Pr1 Pr 0.069 0.325 0.443
Pr2 Pr 0.096 0.104 0.620
Pr3 Pr 0.205 0.282 0.814
Dy1 Dy 0.240 0.455 0.050
Th1 Th 0.000 0.473 0.750
# Electronic total energy = -194.64 eV per cell
# ΔE_f = 139 meV/atom
# DOS(E_F) = 58.0 states/eV/cell

=====

Record 2
# TaTiMn2H | Alexandria via LeMat-Bulk | PBE | relaxed
data_TaTiMn2H
_cell_length_a 4.184
_cell_length_b 4.184
_cell_length_c 3.308
_cell_angle_alpha 90.00
_cell_angle_beta 90.00
_cell_angle_gamma 90.00
_symmetry_space_group_name_H-M 'P 4/m m m'
_symmetry_Int_Tables_number 123
_symmetry_space_group_name_Hall '-P 4 2'
loop_
_atom_site_label
_atom_site_type_symbol
_atom_site_fract_x
_atom_site_fract_y
_atom_site_fract_z
Ta1 Ta 0.000 0.000 0.000
Ti1 Ti 0.500 0.500 0.000
Mn1 Mn 0.000 0.500 0.500
H1 H 0.500 0.500 0.500
# Electronic total energy = -41.75 eV per cell
# DOS(E_F) = 2.1 states/eV/cell

=====

Record 3
# CaNdO2 | Alexandria via LeMat-Bulk | PBE | relaxed
data_CaNdO2
_cell_length_a 6.912
_cell_length_b 6.019
_cell_length_c 5.887
_cell_angle_alpha 90.00
_cell_angle_beta 90.00
_cell_angle_gamma 90.00
_symmetry_space_group_name_H-M 'P b c m'
_symmetry_Int_Tables_number 57
loop_
_symmetry_equiv_pos_as_xyz
'x,y,z'
'-x,-y,-z'
'-x,-y,z+1/2'
'x,y,-z+1/2'
'x,-y+1/2,-z'
'-x,y+1/2,z'
'-x,y+1/2,-z+1/2'
'x,-y+1/2,z+1/2'
loop_
_atom_site_label
_atom_site_type_symbol
_atom_site_fract_x
_atom_site_fract_y
_atom_site_fract_z
Ca1 Ca 0.123 0.082 0.250
Nd1 Nd 0.371 0.585 0.250
O1 O 0.120 0.750 0.000
O2 O 0.370 0.250 0.000
# Excess energy over the best structure of this formula in the dataset = 94 meV/atom
# Electronic total energy = -110.07 eV per cell
# Formation energy from raw total energies = -2708 meV/atom
# DOS(E_F) = 4.4 states/eV/cell

=====

Record 4
# MnCr2Mo | Alexandria via LeMat-Bulk | PBE | relaxed
data_MnCr2Mo
_cell_length_a 2.948
_cell_length_b 4.124
_cell_length_c 8.264
_cell_angle_alpha 90.00
_cell_angle_beta 90.00
_cell_angle_gamma 90.00
_symmetry_space_group_name_H-M 'I m m m'
_symmetry_Int_Tables_number 71
_symmetry_space_group_name_Hall '-I 2 2'
loop_
_atom_site_label
_atom_site_type_symbol
_atom_site_fract_x
_atom_site_fract_y
_atom_site_fract_z
Mn1 Mn 0.000 0.000 0.000
Cr1 Cr 0.000 0.500 0.249
Mo1 Mo 0.000 0.000 0.500
# Excess energy over the best structure of this formula in the dataset = 21 meV/atom
# Electronic total energy = -77.62 eV per cell
# ΔE_f = 109 meV/atom
# DOS(E_F) = 9.3 states/eV/cell

=====

Record 5
# NbCoGe2C | Alexandria via LeMat-Bulk | PBE | relaxed
data_NbCoGe2C
_cell_length_a 4.747
_cell_length_b 4.747
_cell_length_c 3.463
_cell_angle_alpha 90.00
_cell_angle_beta 90.00
_cell_angle_gamma 90.00
_symmetry_space_group_name_H-M 'P 4/m m m'
_symmetry_Int_Tables_number 123
_symmetry_space_group_name_Hall '-P 4 2'
loop_
_atom_site_label
_atom_site_type_symbol
_atom_site_fract_x
_atom_site_fract_y
_atom_site_fract_z
Nb1 Nb 0.000 0.000 0.000
Co1 Co 0.500 0.500 0.500
Ge1 Ge 0.000 0.500 0.500
C1 C 0.500 0.500 0.000
# Electronic total energy = -31.37 eV per cell
# ΔE_f = 853 meV/atom
# DOS(E_F) = 5.4 states/eV/cell

=====

Record 6
# Li3TiCd12 | Alexandria via LeMat-Bulk | PBE | relaxed
data_Li3TiCd12
_cell_length_a 4.334
_cell_length_b 4.334
_cell_length_c 17.498
_cell_angle_alpha 90.00
_cell_angle_beta 90.00
_cell_angle_gamma 90.00
_symmetry_space_group_name_H-M 'P 4/m m m'
_symmetry_Int_Tables_number 123
_symmetry_space_group_name_Hall '-P 4 2'
loop_
_atom_site_label
_atom_site_type_symbol
_atom_site_fract_x
_atom_site_fract_y
_atom_site_fract_z
Li1 Li 0.000 0.000 0.000
Li2 Li 0.000 0.000 0.252
Ti1 Ti 0.000 0.000 0.500
Cd1 Cd 0.000 0.500 0.126
Cd2 Cd 0.000 0.500 0.376
Cd3 Cd 0.500 0.500 0.000
Cd4 Cd 0.500 0.500 0.249
Cd5 Cd 0.500 0.500 0.500
# Electronic total energy = -26.31 eV per cell
# ΔE_f = -106 meV/atom
# DOS(E_F) = 7.8 states/eV/cell

=====

Please write out number 3 again, unchanged.
# CaNdO2 | Alexandria via LeMat-Bulk | PBE | relaxed
data_CaNdO2
_cell_length_a 6.912
_cell_length_b 6.019
_cell_length_c 5.887
_cell_angle_alpha 90.00
_cell_angle_beta 90.00
_cell_angle_gamma 90.00
_symmetry_space_group_name_H-M 'P b c m'
_symmetry_Int_Tables_number 57
loop_
_symmetry_equiv_pos_as_xyz
'x,y,z'
'-x,-y,-z'
'-x,-y,z+1/2'
'x,y,-z+1/2'
'x,-y+1/2,-z'
'-x,y+1/2,z'
'-x,y+1/2,-z+1/2'
'x,-y+1/2,z+1/2'
loop_
_atom_site_label
_atom_site_type_symbol
_atom_site_fract_x
_atom_site_fract_y
_atom_site_fract_z
Ca1 Ca 0.123 0.082 0.250
Nd1 Nd 0.371 0.585 0.250
O1 O 0.120 0.750 0.000
O2 O 0.370 0.250 0.000
# Excess energy over the best structure of this formula in the dataset = 94 meV/atom
# Electronic total energy = -110.07 eV per cell
# Formation energy from raw total energies = -2708 meV/atom
# DOS(E_F) = 4.4 states/eV/cell